Compound: Pr2MnBPt6
Source: Alexandria via LeMat-Bulk
Functional: PBE
Structure: relaxed

a b c (Å): 5.7477 5.7477 19.6142
angles (deg): 90.00 90.00 120.00
Closest atoms and distances in Å follow each position.
Space group R-3m (No. 166, hexagonal axes)
Asymmetric unit:
1 Pr 0.0000 0.0000 0.2126 [6 per cell]  9 Pt 3.09-3.40, 3 Mn 3.44
2 Mn 0.0000 0.0000 0.5000 [3 per cell]  6 Pt 2.59
3 B 0.0000 0.0000 0.0000 [3 per cell]  6 Pt 2.12
4 Pt 0.0125 0.5062 0.2704 [18 per cell]  1 B 2.12

VASP energy in eV/atom: -6.93


Compound: MnB2Pt4
Source: Alexandria via LeMat-Bulk
Functional: PBE
Structure: relaxed

a b c (Å): 5.4811 5.4848 7.8092
angles (deg): 109.45 97.84 108.42
Closest atoms and distances in Å follow each position.
Space group P1 (No. 1)
Asymmetric unit:
1 Mn 0.0000 0.0000 0.0000 [1 per cell]  8 Pt 2.57-2.86
2 Mn 0.3303 0.8230 0.5011 [1 per cell]  2 B 2.30-2.32
3 B 0.2251 0.4663 0.8602 [1 per cell]  5 Pt 2.08-2.23
4 B 0.6233 0.3655 0.1401 [1 per cell]  5 Pt 2.07-2.25
5 B 0.6310 0.2864 0.6231 [1 per cell]  5 Pt 2.11-2.31, 1 B 2.12, 1 Mn 2.32
6 B 0.6668 0.0004 0.3759 [1 per cell]  5 Pt 2.11-2.30, 1 B 2.12, 1 Mn 2.30
7 Pt 0.0245 0.6226 0.7059 [1 per cell]  2 B 2.08-2.19
8 Pt 0.3544 0.5770 0.1557 [1 per cell]  3 B 2.13-2.30
9 Pt 0.4089 0.2070 0.3317 [1 per cell]  3 B 2.13-2.26
10 Pt 0.4281 0.1878 0.8461 [1 per cell]  3 B 2.13-2.31
11 Pt 0.5336 0.6393 0.7352 [1 per cell]  2 B 2.11-2.18
12 Pt 0.8810 0.0711 0.6696 [1 per cell]  3 B 2.14-2.27
13 Pt 0.9146 0.7969 0.2686 [1 per cell]  2 B 2.11-2.18
14 Pt 0.9269 0.3177 0.2988 [1 per cell]  2 B 2.07-2.19

VASP energy in eV/atom: -6.83


Compound: MnB3Pt
Source: Alexandria via LeMat-Bulk
Functional: PBE
Structure: relaxed

a b c (Å): 4.0435 4.0435 4.0435
angles (deg): 90.00 90.00 90.00
Closest atoms and distances in Å follow each position.
Space group Pm-3m (No. 221)
Asymmetric unit:
1 Mn 0.0000 0.0000 0.0000 [1 per cell]  12 B 2.86
2 B 0.0000 0.5000 0.5000 [3 per cell]  2 Pt 2.02
3 Pt 0.5000 0.5000 0.5000 [1 per cell]  6 B 2.02

Excess energy over the best structure of this formula in the dataset in meV per atom: 605
VASP energy in eV/atom: -5.36


Compound: Mn2BPt
Source: Alexandria via LeMat-Bulk
Functional: PBE
Structure: relaxed

a b c (Å): 3.3208 3.3208 16.9939
angles (deg): 90.00 90.00 90.00
Closest atoms and distances in Å follow each position.
Space group I-42d (No. 122)
Asymmetric unit:
1 Mn 0.1834 0.2500 0.1250 [8 per cell]  2 Mn 2.06
2 B 0.0000 0.0000 0.0000 [4 per cell]  4 Pt 2.35, 4 Mn 2.36
3 Pt 0.0000 0.0000 0.5000 [4 per cell]  4 B 2.35, 4 Mn 2.51

VASP energy in eV/atom: -7.31


Compound: Mn3BPt
Source: Alexandria via LeMat-Bulk
Functional: PBE
Structure: relaxed

a b c (Å): 3.8266 3.8266 3.8266
angles (deg): 90.00 90.00 90.00
Closest atoms and distances in Å follow each position.
Space group Pm-3m (No. 221)
Asymmetric unit:
1 Mn 0.0000 0.0000 0.5000 [3 per cell]  2 B 1.91
2 B 0.0000 0.0000 0.0000 [1 per cell]  6 Mn 1.91
3 Pt 0.5000 0.5000 0.5000 [1 per cell]  12 Mn 2.71

Excess energy over the best structure of this formula in the dataset in meV per atom: 0
VASP energy in eV/atom: -7.95


Compound: MnB3Pt
Source: Alexandria via LeMat-Bulk
Functional: PBE
Structure: relaxed

a b c (Å): 3.7824 3.7824 3.7824
angles (deg): 90.00 90.00 90.00
Closest atoms and distances in Å follow each position.
Space group Pm-3m (No. 221)
Asymmetric unit:
1 Mn 0.0000 0.0000 0.0000 [1 per cell]  6 B 1.89
2 B 0.0000 0.0000 0.5000 [3 per cell]  2 Mn 1.89
3 Pt 0.5000 0.5000 0.5000 [1 per cell]  12 B 2.67

Excess energy over the best structure of this formula in the dataset in meV per atom: 0
VASP energy in eV/atom: -5.96


Compound: Mn3BPt
Source: Alexandria via LeMat-Bulk
Functional: PBE
Structure: relaxed

a b c (Å): 4.8533 4.8533 4.8533
angles (deg): 90.00 90.00 90.00
Closest atoms and distances in Å follow each position.
Space group Pm-3m (No. 221)
Asymmetric unit:
1 Mn 0.0000 0.0000 0.5000 [3 per cell]  2 Pt 2.43
2 B 0.5000 0.5000 0.5000 [1 per cell]  12 Mn 3.43
3 Pt 0.0000 0.0000 0.0000 [1 per cell]  6 Mn 2.43

Excess energy over the best structure of this formula in the dataset in meV per atom: 1471
VASP energy in eV/atom: -6.48


Compound: MnBPt
Source: Alexandria via LeMat-Bulk
Functional: PBE
Structure: relaxed

a b c (Å): 8.9632 3.2766 4.9629
angles (deg): 90.00 90.00 90.00
Closest atoms and distances in Å follow each position.
Space group Pnma (No. 62)
Asymmetric unit:
1 Mn 0.1960 0.2500 0.2056 [4 per cell]  3 B 2.18-2.19
2 B 0.1065 0.7500 0.9652 [4 per cell]  3 Pt 2.13-2.21, 3 Mn 2.18-2.19
3 Pt 0.0593 0.2500 0.7061 [4 per cell]  3 B 2.13-2.21

VASP energy in eV/atom: -7.46


Compound: MnBPt2
Source: Alexandria via LeMat-Bulk
Functional: PBE
Structure: relaxed

a b c (Å): 6.6415 6.6415 4.8424
angles (deg): 90.00 90.00 90.00
Closest atoms and distances in Å follow each position.
Space group I-42d (No. 122)
Asymmetric unit:
1 Mn 0.0000 0.0000 0.0000 [4 per cell]  2 B 2.42, 4 Pt 2.68
2 B 0.0000 0.0000 0.5000 [4 per cell]  4 Pt 2.07
3 Pt 0.1618 0.2500 0.6250 [8 per cell]  2 B 2.07

VASP energy in eV/atom: -6.79


Compound: MnBPt2
Source: Alexandria via LeMat-Bulk
Functional: PBE
Structure: relaxed

a b c (Å): 3.1807 3.1807 19.4138
angles (deg): 90.00 90.00 120.00
Closest atoms and distances in Å follow each position.
Space group R-3m (No. 166, hexagonal axes)
Asymmetric unit:
1 Mn 0.0000 0.0000 0.0000 [3 per cell]  6 Pt 2.75
2 B 0.0000 0.0000 0.5000 [3 per cell]  6 Pt 2.19
3 Pt 0.0000 0.0000 0.2277 [6 per cell]  3 B 2.19

VASP energy in eV/atom: -7.05


Compound: Mn2BPt2
Source: Alexandria via LeMat-Bulk
Functional: PBE
Structure: relaxed

a b c (Å): 5.6750 5.6750 4.4701
angles (deg): 90.00 90.00 90.00
Closest atoms and distances in Å follow each position.
Space group P4/mbm (No. 127)
Asymmetric unit:
1 Mn 0.1647 0.3353 0.0000 [4 per cell]  6 Pt 2.63-2.91, 1 Mn 2.64
2 B 0.0000 0.0000 0.5000 [2 per cell]  4 Pt 2.12
3 Pt 0.1634 0.6634 0.5000 [4 per cell]  2 B 2.12

VASP energy in eV/atom: -7.47


Compound: Mn2B2PtRh5
Source: Alexandria via LeMat-Bulk
Functional: PBE
Structure: relaxed

a b c (Å): 9.6065 9.6065 2.8910
angles (deg): 90.00 90.00 90.00
Closest atoms and distances in Å follow each position.
Space group P4/mbm (No. 127)
Asymmetric unit:
1 Mn 0.1785 0.3215 0.0000 [4 per cell]  3 B 2.69-2.95, 10 Rh 2.82-2.95, 2 Mn 2.89
2 B 0.1234 0.6234 0.0000 [4 per cell]  6 Rh 2.12-2.21
3 Pt 0.0000 0.0000 0.0000 [2 per cell]  8 Rh 2.68, 2 Pt 2.89
4 Rh 0.0000 0.5000 0.5000 [2 per cell]  4 B 2.21
5 Rh 0.0711 0.7756 0.5000 [8 per cell]  2 B 2.12

VASP energy in eV/atom: -7.67


Compound: Sm2MnB3Pt12
Source: Alexandria via LeMat-Bulk
Functional: PBE
Structure: relaxed

a b c (Å): 7.9178 7.9178 17.4834
angles (deg): 90.00 90.00 120.00
Closest atoms and distances in Å follow each position.
Space group R-3m (No. 166, hexagonal axes)
Asymmetric unit:
1 Sm 0.0000 0.0000 0.1038 [6 per cell]  6 Pt 2.94-3.04
2 Mn 0.0000 0.0000 0.5000 [3 per cell]  6 Pt 2.44
3 B 0.0000 0.5000 0.0000 [9 per cell]  6 Pt 2.13-2.15
4 Pt 0.0037 0.5019 0.8784 [18 per cell]  1 B 2.13
5 Pt 0.0573 0.5286 0.3545 [18 per cell]  2 B 2.15

VASP energy in eV/atom: -6.58


Compound: Sm3MnB2Pt9
Source: Alexandria via LeMat-Bulk
Functional: PBE
Structure: relaxed

a b c (Å): 5.7784 5.7784 9.2879
angles (deg): 90.00 90.00 120.00
Closest atoms and distances in Å follow each position.
Space group P-3m1 (No. 164)
Asymmetric unit:
1 Sm 0.0000 0.0000 0.0000 [1 per cell]  12 Pt 2.89-3.13
2 Sm 0.3333 0.6667 0.6039 [2 per cell]  9 Pt 3.07-3.40
3 Mn 0.0000 0.0000 0.5000 [1 per cell]  6 Pt 2.58
4 B 0.3333 0.6667 0.1482 [2 per cell]  6 Pt 2.12-2.16
5 Pt 0.0000 0.5000 0.0000 [3 per cell]  2 B 2.16
6 Pt 0.1646 0.3293 0.2860 [6 per cell]  1 B 2.12

VASP energy in eV/atom: -6.85


Compound: MnSnB2Pt
Source: Alexandria via LeMat-Bulk
Functional: PBE
Structure: relaxed

a b c (Å): 4.0160 4.0160 5.9244
angles (deg): 90.00 90.00 90.00
Closest atoms and distances in Å follow each position.
Space group P4/mmm (No. 123)
Asymmetric unit:
1 Mn 0.0000 0.0000 0.0000 [1 per cell]  4 Sn 2.84
2 Sn 0.5000 0.5000 0.0000 [1 per cell]  4 Mn 2.84, 2 Pt 2.96
3 B 0.0000 0.5000 0.5000 [2 per cell]  2 Pt 2.01
4 Pt 0.5000 0.5000 0.5000 [1 per cell]  4 B 2.01

VASP energy in eV/atom: -5.78


Compound: Tb2MnBPt6
Source: Alexandria via LeMat-Bulk
Functional: PBE
Structure: relaxed

a b c (Å): 5.6329 5.6329 19.7083
angles (deg): 90.00 90.00 120.00
Closest atoms and distances in Å follow each position.
Space group R-3m (No. 166, hexagonal axes)
Asymmetric unit:
1 Tb 0.0000 0.0000 0.2094 [6 per cell]  9 Pt 3.04-3.29, 3 Mn 3.36
2 Mn 0.0000 0.0000 0.5000 [3 per cell]  6 Pt 2.55
3 B 0.0000 0.0000 0.0000 [3 per cell]  6 Pt 2.11
4 Pt 0.0085 0.5042 0.2679 [18 per cell]  1 B 2.11

VASP energy in eV/atom: -6.93


Compound: Tb3MnB2Pt9
Source: Alexandria via LeMat-Bulk
Functional: PBE
Structure: relaxed

a b c (Å): 5.7332 5.7332 9.2644
angles (deg): 90.00 90.00 120.00
Closest atoms and distances in Å follow each position.
Space group P-3m1 (No. 164)
Asymmetric unit:
1 Tb 0.0000 0.0000 0.0000 [1 per cell]  12 Pt 2.87-3.12
2 Tb 0.3333 0.6667 0.6009 [2 per cell]  9 Pt 3.05-3.36
3 Mn 0.0000 0.0000 0.5000 [1 per cell]  6 Pt 2.57
4 B 0.3333 0.6667 0.1484 [2 per cell]  6 Pt 2.11-2.15
5 Pt 0.0000 0.5000 0.0000 [3 per cell]  2 B 2.15
6 Pt 0.1644 0.3288 0.2864 [6 per cell]  1 B 2.11

VASP energy in eV/atom: -6.86


Compound: Tb2MnB3Pt12
Source: Alexandria via LeMat-Bulk
Functional: PBE
Structure: relaxed

a b c (Å): 7.9110 7.9110 17.2833
angles (deg): 90.00 90.00 120.00
Closest atoms and distances in Å follow each position.
Space group R-3m (No. 166, hexagonal axes)
Asymmetric unit:
1 Tb 0.0000 0.0000 0.1024 [6 per cell]  6 Pt 2.91-3.01
2 Mn 0.0000 0.0000 0.5000 [3 per cell]  6 Pt 2.45
3 B 0.0000 0.5000 0.0000 [9 per cell]  6 Pt 2.13-2.15
4 Pt 0.0073 0.5037 0.8768 [18 per cell]  1 B 2.13
5 Pt 0.0555 0.5278 0.3548 [18 per cell]  2 B 2.15

VASP energy in eV/atom: -6.58


Compound: MnB2PtW
Source: Alexandria via LeMat-Bulk
Functional: PBE
Structure: relaxed

a b c (Å): 4.1199 4.1199 4.6545
angles (deg): 90.00 90.00 90.00
Closest atoms and distances in Å follow each position.
Space group P4/mmm (No. 123)
Asymmetric unit:
1 Mn 0.0000 0.0000 0.0000 [1 per cell]  2 W 2.33
2 B 0.0000 0.5000 0.5000 [2 per cell]  2 W 2.06
3 Pt 0.5000 0.5000 0.0000 [1 per cell]  4 Mn 2.91, 8 B 3.11
4 W 0.0000 0.0000 0.5000 [1 per cell]  4 B 2.06

VASP energy in eV/atom: -6.78


Compound: Y2MnBPt6
Source: Alexandria via LeMat-Bulk
Functional: PBE
Structure: relaxed

a b c (Å): 5.6303 5.6303 19.7117
angles (deg): 90.00 90.00 120.00
Closest atoms and distances in Å follow each position.
Space group R-3m (No. 166, hexagonal axes)
Asymmetric unit:
1 Y 0.0000 0.0000 0.2091 [6 per cell]  9 Pt 3.05-3.29, 3 Mn 3.36
2 Mn 0.0000 0.0000 0.5000 [3 per cell]  6 Pt 2.55
3 B 0.0000 0.0000 0.0000 [3 per cell]  6 Pt 2.11
4 Pt 0.0087 0.5044 0.2680 [18 per cell]  1 B 2.11

VASP energy in eV/atom: -7.29


In order of appearance, E_form = -765.9 -157.8 1691.5 458.2 91.7 1086.8 1563.1 -159.7 196.8 -63.6 -48.7 -216.0 -410.3 -783.6 738.3 -798.3 -810.6 -413.1 1524.1 -790.7 meV/atom.